No. 1
A relaxed CeEuMgSn crystal, computed with PBE.

Output
The density of states at the Fermi level is 39.4 states/eV/cell. The calculation puts the magnetic moment at 2.191 μB per atom. Its formation energy is -333.0 meV/atom.

Lattice parameters (Å, degrees): 7.7803 7.7803 7.7803 90.00 90.00 90.00
With the nearest neighbours (Å) after each atom.
Element x y z (fractional)
Ce (0.0000, 0.0000, 0.0000)  4 Mg 3.37, 4 Sn 3.37
Ce (0.0000, 0.5000, 0.5000)  4 Mg 3.37, 4 Sn 3.37
Ce (0.5000, 0.0000, 0.5000)  4 Mg 3.37, 4 Sn 3.37
Ce (0.5000, 0.5000, 0.0000)  4 Mg 3.37, 4 Sn 3.37
Eu (0.0000, 0.0000, 0.5000)  4 Sn 3.37, 4 Mg 3.37
Eu (0.0000, 0.5000, 0.0000)  4 Sn 3.37, 4 Mg 3.37
Eu (0.5000, 0.0000, 0.0000)  4 Sn 3.37, 4 Mg 3.37
Eu (0.5000, 0.5000, 0.5000)  4 Sn 3.37, 4 Mg 3.37
Mg (0.2500, 0.2500, 0.7500)  4 Eu 3.37, 4 Ce 3.37
Mg (0.2500, 0.7500, 0.2500)  4 Eu 3.37, 4 Ce 3.37
Mg (0.7500, 0.2500, 0.2500)  4 Eu 3.37, 4 Ce 3.37
Mg (0.7500, 0.7500, 0.7500)  4 Eu 3.37, 4 Ce 3.37
Sn (0.2500, 0.2500, 0.2500)  4 Ce 3.37, 4 Eu 3.37
Sn (0.2500, 0.7500, 0.7500)  4 Ce 3.37, 4 Eu 3.37
Sn (0.7500, 0.2500, 0.7500)  4 Ce 3.37, 4 Eu 3.37
Sn (0.7500, 0.7500, 0.2500)  4 Ce 3.37, 4 Eu 3.37


No. 2
A relaxed MgBe2V crystal, computed with PBE.

Output
The density of states at the Fermi level is 10.0 states/eV/cell. The calculation puts the magnetic moment at 0.241 μB per atom. Its formation energy is 727.6 meV/atom.

Lattice parameters (Å, degrees): 6.4131 6.4131 5.2742 90.00 90.00 90.00
With the nearest neighbours (Å) after each atom.
Element x y z (fractional)
Mg (0.0000, 0.0000, 0.0000)  4 Be 2.42, 2 V 2.64
Mg (0.0000, 0.5000, 0.2500)  4 Be 2.42, 2 V 2.64
Mg (0.5000, 0.0000, 0.7500)  4 Be 2.42, 2 V 2.64
Mg (0.5000, 0.5000, 0.5000)  4 Be 2.42, 2 V 2.64
Be (0.2369, 0.2500, 0.6250)  2 V 2.31, 2 Mg 2.42
Be (0.2500, 0.7369, 0.8750)  2 V 2.31, 2 Mg 2.42
Be (0.2500, 0.7631, 0.3750)  2 V 2.31, 2 Mg 2.42
Be (0.2631, 0.2500, 0.1250)  2 V 2.31, 2 Mg 2.42
Be (0.7369, 0.7500, 0.1250)  2 V 2.31, 2 Mg 2.42
Be (0.7500, 0.2369, 0.3750)  2 V 2.31, 2 Mg 2.42
Be (0.7500, 0.2631, 0.8750)  2 V 2.31, 2 Mg 2.42
Be (0.7631, 0.7500, 0.6250)  2 V 2.31, 2 Mg 2.42
V (0.0000, 0.0000, 0.5000)  4 Be 2.31
V (0.0000, 0.5000, 0.7500)  4 Be 2.31
V (0.5000, 0.0000, 0.2500)  4 Be 2.31
V (0.5000, 0.5000, 0.0000)  4 Be 2.31


No. 3
A relaxed Li7Cd2 crystal, computed with PBE.

Output
The density of states at the Fermi level is 4.5 states/eV/cell. The calculation puts the magnetic moment at 0.000 μB per atom. Its formation energy is -152.8 meV/atom.

Lattice parameters (Å, degrees): 4.7198 4.7198 8.6278 90.00 90.00 120.00
With the nearest neighbours (Å) after each atom.
Element x y z (fractional)
Li (0.0000, 0.0000, 0.0000)  8 Li 2.83-2.88
Li (0.0000, 0.0000, 0.3280)  5 Li 2.83-2.97, 3 Cd 2.86
Li (0.0000, 0.0000, 0.6720)  5 Li 2.83-2.97, 3 Cd 2.86
Li (0.3333, 0.6667, 0.1077)  4 Li 2.83-2.88, 4 Cd 2.90-2.92
Li (0.3333, 0.6667, 0.4362)  7 Li 2.83-2.94, 1 Cd 2.89
Li (0.6667, 0.3333, 0.5638)  7 Li 2.83-2.94, 1 Cd 2.89
Li (0.6667, 0.3333, 0.8923)  4 Li 2.83-2.88, 4 Cd 2.90-2.92
Cd (0.3333, 0.6667, 0.7715)  8 Li 2.86-2.92
Cd (0.6667, 0.3333, 0.2285)  8 Li 2.86-2.92


No. 4
A relaxed LiVPdRh crystal, computed with PBE.

Output
The density of states at the Fermi level is 3.2 states/eV/cell. The calculation puts the magnetic moment at 0.121 μB per atom. Its formation energy is -324.2 meV/atom.

Lattice parameters (Å, degrees): 2.8919 2.8919 6.4645 90.00 90.00 90.00
With the nearest neighbours (Å) after each atom.
Element x y z (fractional)
Li (0.0000, 0.0000, 0.0000)  4 Pd 2.58, 4 Rh 2.60
V (0.0000, 0.0000, 0.5167)  4 Rh 2.55, 4 Pd 2.70
Pd (0.5000, 0.5000, 0.2430)  4 Li 2.58, 4 V 2.70
Rh (0.5000, 0.5000, 0.7514)  4 V 2.55, 4 Li 2.60


Which of these has the lowest magnetic moment?
Li7Cd2


Look up the magnetic moment of the first one.
2.191 μB per atom